Computed, not measured: crystalline CrIN2F at its relaxed geometry at the PBE+U level of DFT.

Properties
As for the symmetry: P4/mmm, No. 123. The calculation puts the energy above the lowest structure with this stoichiometry at 0.4031 eV per atom. Its density of states at the Fermi level is 5.379 states/eV per cell.

Structure (CIF):
```
data_CrIN2F
_chemical_formula_sum 'Cr1 I1 N2 F1'
_cell_length_a 3.656
_cell_length_b 3.656
_cell_length_c 5.528
_cell_angle_alpha 90.00
_cell_angle_beta 90.00
_cell_angle_gamma 90.00
_space_group_name_H-M_alt 'P 1'
_space_group_IT_number 1
loop_
_space_group_symop_operation_xyz
'x,y,z'
loop_
_atom_site_label
_atom_site_fract_x
_atom_site_fract_y
_atom_site_fract_z
_atom_site_occupancy
Cr1 0.000 0.000 0.000 1
I1 0.000 0.000 0.500 1
N1 0.000 0.500 0.000 1
N2 0.500 0.000 0.000 1
F1 0.500 0.500 0.500 1
```